Entry 1:
{"formula": "Bi2PtO5", "functional": "GGA-PBE", "state": "relaxed", "energy_ha_per_atom": -0.2055, "total_magnetization_mub_per_cell": 0.0, "e_form_raw_ev_per_atom": -0.7683, "lattice": [[-4.7227, -2.2736, -0.7796], [-1.8857, -0.1273, -5.7006], [-0.1887, -6.0635, 0.2378]], "species": ["O", "O", "O", "O", "O", "Bi", "Bi", "Pt"], "frac_coords": [[0.6554, 0.3165, 0.3167], [0.4178, 0.7937, 0.7973], [0.0142, 0.8190, 0.2794], [0.9351, 0.7980, 0.7941], [0.8320, 0.2791, 0.8185], [0.6288, 0.0797, 0.6571], [0.5790, 0.6564, 0.0792], [0.9376, 0.0346, 0.0346]]}

=====

Entry 2:
{"formula": "Ti2IrAu", "functional": "GGA-PBE", "state": "relaxed", "delta_e_f_ev_per_atom": -0.54, "energy_ha_per_atom": -0.2764, "n_ef_per_ev_atom": 1.021, "total_magnetization_mub_per_cell": 0.8, "lattice": [[3.8844, 0.0000, 0.0000], [0.0000, 4.0386, 0.0000], [0.0000, 0.0000, 4.0386]], "species": ["Ti", "Ti", "Ir", "Au"], "frac_coords": [[0.0000, 0.0000, 0.5000], [0.0000, 0.5000, 0.0000], [0.5000, 0.5000, 0.5000], [0.5000, 0.0000, 0.0000]]}

=====

Entry 3:
{"formula": "SrTlTc", "functional": "GGA-PBE", "state": "relaxed", "delta_e_f_ev_per_atom": 0.81, "energy_ha_per_atom": -0.1468, "n_ef_per_ev_atom": 2.066, "polymorph_energy_mev_per_atom": 287, "total_magnetization_mub_per_cell": 1.8, "lattice": [[-4.0528, 2.3056, -1.6449], [-4.1330, -2.5750, -0.8572], [-3.9131, 0.5441, 2.9729]], "species": ["Tl", "Tc", "Sr"], "frac_coords": [[0.0000, 0.0000, 0.0000], [0.7500, 0.7500, 0.7500], [0.5000, 0.5000, 0.5000]]}

=====

Entry 4:
{"formula": "Al3HgB", "functional": "GGA-PBE", "state": "relaxed", "delta_e_f_ev_per_atom": 0.28, "energy_ha_per_atom": -0.1237, "n_ef_per_ev_atom": 0.320, "polymorph_energy_mev_per_atom": 0, "total_magnetization_mub_per_cell": 0.0, "lattice": [[-2.6686, 3.3990, -0.1840], [-2.8261, -2.0819, 2.5274], [1.8975, 1.6796, 3.5053]], "species": ["Al", "Al", "Al", "Hg", "B"], "frac_coords": [[0.0000, 0.0000, 0.5000], [0.0000, 0.5000, 0.0000], [0.5000, 0.0000, 0.0000], [0.5000, 0.5000, 0.5000], [0.0000, 0.0000, 0.0000]]}

=====

Repeat the third record exactly.
{"formula": "SrTlTc", "functional": "GGA-PBE", "state": "relaxed", "delta_e_f_ev_per_atom": 0.81, "energy_ha_per_atom": -0.1468, "n_ef_per_ev_atom": 2.066, "polymorph_energy_mev_per_atom": 287, "total_magnetization_mub_per_cell": 1.8, "lattice": [[-4.0528, 2.3056, -1.6449], [-4.1330, -2.5750, -0.8572], [-3.9131, 0.5441, 2.9729]], "species": ["Tl", "Tc", "Sr"], "frac_coords": [[0.0000, 0.0000, 0.0000], [0.7500, 0.7500, 0.7500], [0.5000, 0.5000, 0.5000]]}

=====

What did the first record say?
{"formula": "Bi2PtO5", "functional": "GGA-PBE", "state": "relaxed", "energy_ha_per_atom": -0.2055, "total_magnetization_mub_per_cell": 0.0, "e_form_raw_ev_per_atom": -0.7683, "lattice": [[-4.7227, -2.2736, -0.7796], [-1.8857, -0.1273, -5.7006], [-0.1887, -6.0635, 0.2378]], "species": ["O", "O", "O", "O", "O", "Bi", "Bi", "Pt"], "frac_coords": [[0.6554, 0.3165, 0.3167], [0.4178, 0.7937, 0.7973], [0.0142, 0.8190, 0.2794], [0.9351, 0.7980, 0.7941], [0.8320, 0.2791, 0.8185], [0.6288, 0.0797, 0.6571], [0.5790, 0.6564, 0.0792], [0.9376, 0.0346, 0.0346]]}